The following is a DFT calculation (PBE) of a relaxed CaHgNF2 crystal.

a b c (Å): 4.3442 4.3442 5.1206
angles (deg): 90.00 90.00 90.00
Last column: nearest neighbours and their distance in Å.
Positions (direct):
Ca (0.0000, 0.0000, 0.0000)  4 F 2.17
Hg (0.5000, 0.5000, 0.5000)  4 N 3.07, 8 F 3.36
N (0.0000, 0.0000, 0.5000)  2 Ca 2.56
F (0.0000, 0.5000, 0.0000)  2 Ca 2.17
F (0.5000, 0.0000, 0.0000)  2 Ca 2.17

Calculated values
For the formation energy (no corrections), the calculation gives -1112 meV/atom. Its space group is P4/mmm (123).